<1>
# LaNiIr2

LaNiIr2 after structural relaxation (PBEsol, Alexandria via LeMat-Bulk).

Properties
**Size of the total moment**: 0.0002 μB per atom
**Theoretical density**: 14.587 g/cm3

```
LaNiIr2
1.0
-2.888 2.781 -0.832
-2.474 -2.971 -1.346
1.215 -0.336 4.735
La Ir Ni
1 2 1
direct
0.500 0.500 0.000
0.250 0.750 0.500
0.000 0.000 0.000
0.750 0.250 0.500
```

=====

<2>
# LaNiIr2

LaNiIr2 after structural relaxation (PBEsol, Alexandria via LeMat-Bulk).

Properties
**Size of the total moment**: 0.0000 μB per atom
**Theoretical density**: 14.176 g/cm3

```
LaNiIr2
1.0
3.175 0.000 0.000
0.000 3.175 0.000
0.000 0.000 6.762
Ni Ir La
1 2 1
direct
0.500 0.500 0.817
0.500 0.500 0.194
0.000 0.000 0.977
0.000 0.000 0.513
```

=====

Most stable to least stable, the ends of the list are <1> and <2>.

=====

<1>
# LaNiIr2

LaNiIr2 after structural relaxation (PBEsol, Alexandria via LeMat-Bulk).

Properties
**Size of the total moment**: 0.0000 μB per atom
**Theoretical density**: 14.704 g/cm3

```
LaNiIr2
1.0
2.968 0.000 0.000
0.000 4.662 0.000
0.000 0.000 4.752
Ir La Ni
2 1 1
direct
0.000 0.000 0.000
0.500 0.500 0.000
0.500 0.000 0.500
0.000 0.500 0.500
```

=====

<2>
# LaNiIr2

LaNiIr2 after structural relaxation (PBEsol, Alexandria via LeMat-Bulk).

Properties
**Size of the total moment**: 0.0001 μB per atom
**Theoretical density**: 14.547 g/cm3

```
LaNiIr2
1.0
2.991 0.000 0.000
0.000 4.840 -0.020
0.000 -1.521 4.595
Ir La Ni
2 1 1
direct
0.000 0.000 0.500
0.000 0.500 0.000
0.500 0.000 0.000
0.500 0.500 0.500
```

=====

Most stable to least stable, the ends of the list are <1> and <2>.

=====

<1>
# LaIrPt2

LaIrPt2 after structural relaxation (PBEsol, Alexandria via LeMat-Bulk).

Properties
**Size of the total moment**: 0.0000 μB per atom
**Theoretical density**: 16.463 g/cm3

```
LaIrPt2
1.0
4.686 0.000 0.000
2.343 4.058 0.000
2.343 1.353 3.826
La Ir Pt
1 1 2
direct
0.250 0.250 0.250
0.500 0.500 0.500
0.750 0.750 0.750
0.000 0.000 0.000
```

=====

<2>
# LaIrPt2

LaIrPt2 after structural relaxation (PBEsol, Alexandria via LeMat-Bulk).

Properties
**Size of the total moment**: 0.0000 μB per atom
**Theoretical density**: 14.426 g/cm3

```
LaIrPt2
1.0
-3.681 0.539 -2.460
-3.980 0.330 1.986
-2.027 5.073 0.102
Pt Ir La
2 1 1
direct
0.698 0.698 0.905
0.302 0.302 0.095
0.000 0.000 0.000
0.500 0.500 0.500
```

=====

Most stable to least stable, the ends of the list are <2> and <1>.

=====

<1>
# LaRe2Ir

LaRe2Ir after structural relaxation (PBEsol, Alexandria via LeMat-Bulk).

Properties
**Size of the total moment**: 0.0001 μB per atom
**Theoretical density**: 16.873 g/cm3

```
LaRe2Ir
1.0
4.390 0.000 0.000
-2.195 4.211 0.000
0.000 2.288 3.746
Re La Ir
2 1 1
direct
0.250 0.500 0.250
0.000 0.000 0.000
0.750 0.500 0.750
0.500 0.000 0.500
```

=====

<2>
# LaRe2Ir

LaRe2Ir after structural relaxation (PBEsol, Alexandria via LeMat-Bulk).

Properties
**Size of the total moment**: 0.0000 μB per atom
**Theoretical density**: 16.894 g/cm3

```
LaRe2Ir
1.0
2.769 0.000 0.000
0.000 2.769 0.000
0.000 0.000 9.022
Re Ir La
2 1 1
direct
0.000 0.000 0.792
0.000 0.000 0.208
0.500 0.500 0.000
0.500 0.500 0.500
```

=====

Most stable to least stable, the ends of the list are <2> and <1>.

=====

<1>
# LaIr2Rh

LaIr2Rh after structural relaxation (PBEsol, Alexandria via LeMat-Bulk).

Properties
**Size of the total moment**: 0.0001 μB per atom
**Theoretical density**: 15.218 g/cm3

```
LaIr2Rh
1.0
-0.502 -3.111 2.563
1.991 -2.438 -2.568
2.829 3.731 1.864
Ir La Rh
2 1 1
direct
0.750 0.250 0.500
0.250 0.750 0.500
0.000 0.000 0.000
0.500 0.500 0.000
```

=====

<2>
# LaIr2Rh

LaIr2Rh after structural relaxation (PBEsol, Alexandria via LeMat-Bulk).

Properties
**Size of the total moment**: 0.0000 μB per atom
**Theoretical density**: 14.838 g/cm3

```
LaIr2Rh
1.0
-1.914 1.357 -1.521
-1.679 -3.371 -0.895
-3.794 0.503 5.222
Ir La Rh
2 1 1
direct
0.000 0.000 0.697
0.000 0.000 0.303
0.500 0.500 0.000
0.500 0.500 0.500
```

=====

Most stable to least stable, the ends of the list are <1> and <2>.

=====

<1>
# LaIrS2

LaIrS2 after structural relaxation (PBEsol, Alexandria via LeMat-Bulk).

Properties
**Size of the total moment**: 0.0000 μB per atom
**Theoretical density**: 7.422 g/cm3

```
LaIrS2
1.0
-3.004 -3.932 0.339
3.043 -2.037 3.346
-3.662 6.223 3.442
S La Ir
4 2 2
direct
0.290 0.875 0.250
0.125 0.040 0.750
0.625 0.710 0.750
0.960 0.375 0.250
0.500 0.500 0.000
0.750 0.250 0.500
0.000 0.000 0.000
0.250 0.750 0.500
```

=====

<2>
# LaIrS2

LaIrS2 after structural relaxation (PBEsol, Alexandria via LeMat-Bulk).

Properties
**Size of the total moment**: 0.1106 μB per atom
**Theoretical density**: 9.132 g/cm3

```
LaIrS2
1.0
-4.297 -1.548 -0.958
-1.954 -3.274 2.691
-3.559 1.107 2.808
S La Ir
2 1 1
direct
0.750 0.750 0.750
0.250 0.250 0.250
0.000 0.000 0.000
0.500 0.500 0.500
```

=====

Most stable to least stable, the ends of the list are <1> and <2>.

=====

<1>
# La2IrSe

La2IrSe after structural relaxation (PBEsol, Alexandria via LeMat-Bulk).

Properties
**Size of the total moment**: 0.0337 μB per atom
**Theoretical density**: 8.180 g/cm3

```
La2IrSe
1.0
-3.955 0.393 -1.756
-3.531 -0.849 2.387
-2.726 6.365 2.187
Ir La Se
1 2 1
direct
0.210 0.210 0.370
0.787 0.787 0.639
0.963 0.963 0.110
0.540 0.540 0.381
```

=====

<2>
# La2IrSe

La2IrSe after structural relaxation (PBEsol, Alexandria via LeMat-Bulk).

Properties
**Size of the total moment**: 0.0001 μB per atom
**Theoretical density**: 8.546 g/cm3

```
La2IrSe
1.0
4.140 0.000 0.000
2.070 3.585 0.000
2.070 1.195 7.186
Ir Se La
1 1 2
direct
0.000 0.000 0.000
0.500 0.500 0.500
0.258 0.258 0.226
0.742 0.742 0.774
```

=====

Most stable to least stable, the ends of the list are <2> and <1>.

=====

<1>
# La2IrSe

La2IrSe after structural relaxation (PBEsol, Alexandria via LeMat-Bulk).

Properties
**Size of the total moment**: 0.0000 μB per atom
**Theoretical density**: 9.637 g/cm3

```
La2IrSe
1.0
3.583 0.000 0.014
0.000 3.583 0.000
-0.039 0.000 7.367
La Se Ir
2 1 1
direct
0.001 0.000 0.268
0.999 0.000 0.732
0.500 0.500 0.000
0.500 0.500 0.500
```

=====

<2>
# La2IrSe

La2IrSe after structural relaxation (PBEsol, Alexandria via LeMat-Bulk).

Properties
**Size of the total moment**: 0.0001 μB per atom
**Theoretical density**: 8.691 g/cm3

```
La2IrSe
1.0
-0.148 -3.958 1.428
1.859 1.220 3.575
-5.306 1.063 2.396
Se La Ir
1 2 1
direct
0.000 0.000 0.375
0.500 0.500 0.374
0.000 0.000 0.875
0.500 0.500 0.876
```

=====

Most stable to least stable, the ends of the list are <2> and <1>.

=====

<1>
# LaIrSe2

LaIrSe2 after structural relaxation (PBEsol, Alexandria via LeMat-Bulk).

Properties
**Size of the total moment**: 0.0000 μB per atom
**Theoretical density**: 9.490 g/cm3

```
LaIrSe2
1.0
-1.489 1.426 -3.289
3.988 -2.249 -2.780
-3.498 -3.005 2.572
Ir Se La
1 2 1
direct
0.500 0.000 0.000
0.813 0.813 0.627
0.187 0.187 0.373
0.000 0.500 0.000
```

=====

<2>
# LaIrSe2

LaIrSe2 after structural relaxation (PBEsol, Alexandria via LeMat-Bulk).

Properties
**Size of the total moment**: 0.0000 μB per atom
**Theoretical density**: 9.103 g/cm3

```
LaIrSe2
1.0
4.588 0.032 0.000
-1.257 4.413 0.000
-1.666 -2.223 4.397
Se La Ir
2 1 1
direct
0.500 0.000 0.500
0.000 0.500 0.500
0.000 0.000 0.000
0.500 0.500 0.000
```

=====

<3>
# LaIrSe2

LaIrSe2 after structural relaxation (PBEsol, Alexandria via LeMat-Bulk).

Properties
**Size of the total moment**: 0.0000 μB per atom
**Theoretical density**: 9.149 g/cm3

```
LaIrSe2
1.0
-0.513 3.631 -0.964
-1.561 -1.098 3.276
5.780 1.699 3.324
Se Ir La
2 1 1
direct
0.000 0.000 0.290
0.000 0.000 0.710
0.500 0.500 0.500
0.500 0.500 0.000
```

=====

Most stable to least stable, the ends of the list are <1> and <2>.

=====

<1>
# Sr2LaIr

Sr2LaIr after structural relaxation (PBEsol, Alexandria via LeMat-Bulk).

Properties
**Size of the total moment**: 0.0000 μB per atom
**Theoretical density**: 5.438 g/cm3

```
Sr2LaIr
1.0
4.188 0.000 0.000
-2.094 3.633 -0.031
0.000 -2.303 10.181
Sr La Ir
2 1 1
direct
0.219 0.437 0.658
0.003 0.006 0.010
0.784 0.568 0.351
0.494 0.988 0.482
```

=====

<2>
# Sr2LaIr

Sr2LaIr after structural relaxation (PBEsol, Alexandria via LeMat-Bulk).

Properties
**Size of the total moment**: 0.0001 μB per atom
**Theoretical density**: 7.776 g/cm3

```
Sr2LaIr
1.0
-1.739 4.755 -1.720
-0.673 0.867 -5.234
-4.929 0.473 -2.020
Sr La Ir
2 1 1
direct
0.250 0.250 0.250
0.750 0.750 0.750
0.500 0.500 0.500
0.000 0.000 0.000
```

=====

Most stable to least stable, the ends of the list are <1> and <2>.

=====

<1>
# LaTa2Ir

LaTa2Ir after structural relaxation (PBEsol, Alexandria via LeMat-Bulk).

Properties
**Size of the total moment**: 0.0001 μB per atom
**Theoretical density**: 14.195 g/cm3

```
LaTa2Ir
1.0
2.943 0.000 0.000
0.000 5.007 0.000
-1.472 -2.504 5.501
Ir Ta La
1 2 1
direct
0.500 0.000 0.000
0.788 0.788 0.576
0.212 0.212 0.424
0.000 0.500 0.000
```

=====

<2>
# LaTa2Ir

LaTa2Ir after structural relaxation (PBEsol, Alexandria via LeMat-Bulk).

Properties
**Size of the total moment**: 0.0001 μB per atom
**Theoretical density**: 14.263 g/cm3

```
LaTa2Ir
1.0
-0.182 -2.955 0.101
5.095 -0.341 -0.801
-0.407 1.693 5.360
Ta La Ir
2 1 1
direct
0.212 0.194 0.424
0.788 0.806 0.576
0.000 0.500 0.000
0.500 0.000 0.000
```

=====

<3>
# LaTa2Ir

LaTa2Ir after structural relaxation (PBEsol, Alexandria via LeMat-Bulk).

Properties
**Size of the total moment**: 0.0000 μB per atom
**Theoretical density**: 14.609 g/cm3

```
LaTa2Ir
1.0
3.983 0.000 0.000
0.000 3.983 0.000
0.000 0.000 4.966
Ir Ta La
1 2 1
direct
0.500 0.500 0.500
0.000 0.500 0.000
0.500 0.000 0.000
0.000 0.000 0.500
```

=====

Most stable to least stable, the ends of the list are <2> and <3>.

=====

<1>
# La2TaIr

La2TaIr after structural relaxation (PBEsol, Alexandria via LeMat-Bulk).

Properties
**Size of the total moment**: 0.0001 μB per atom
**Theoretical density**: 11.184 g/cm3

```
La2TaIr
1.0
3.252 0.000 0.000
0.000 3.252 0.000
0.000 0.000 9.139
La Ta Ir
2 1 1
direct
0.000 0.000 0.939
0.500 0.500 0.304
0.000 0.000 0.558
0.500 0.500 0.699
```

=====

<2>
# La2TaIr

La2TaIr after structural relaxation (PBEsol, Alexandria via LeMat-Bulk).

Properties
**Size of the total moment**: 0.0001 μB per atom
**Theoretical density**: 11.017 g/cm3

```
La2TaIr
1.0
-0.839 -3.370 -0.219
4.615 -1.282 2.035
-4.024 2.534 4.067
Ta La Ir
1 2 1
direct
0.553 0.553 0.106
0.969 0.969 0.937
0.761 0.261 0.521
0.218 0.718 0.435
```

=====

Most stable to least stable, the ends of the list are <1> and <2>.